w:
PrHoPtAu | PBE | relaxed

Cell lengths 4.673, 3.858, 10.859 Å; angles 90.00, 90.00, 90.00 degrees
Space group Amm2 (No. 38)
Inequivalent atoms, fractional coordinates:
Pr: 0.000 0.000 0.000 [2 per cell]
Ho: 0.500 0.000 0.724 [2 per cell]
Pt: 0.000 0.000 0.271 [2 per cell]
Au: 0.500 0.000 0.445 [2 per cell]

Values from the calculation:
Crystal system = orthorhombic
Total moment = 0.00 μB per cell

---

x:
PrHoPtAu | PBE | relaxed

Cell lengths 7.230, 7.230, 7.230 Å; angles 90.00, 90.00, 90.00 degrees
Space group F-43m (No. 216)
Inequivalent atoms, fractional coordinates:
Pr: 0.000 0.000 0.000 [4 per cell]
Ho: 0.000 0.000 0.500 [4 per cell]
Pt: 0.250 0.250 0.750 [4 per cell]
Au: 0.250 0.250 0.250 [4 per cell]

Values from the calculation:
Crystal system = cubic
Total moment = 0.00 μB per cell

---

Which of them is the most stable? Correct choice: w.

---

w:
PrHoRhAu | PBE | relaxed

Cell lengths 4.657, 3.863, 10.584 Å; angles 90.00, 90.00, 90.00 degrees
Space group Amm2 (No. 38)
Inequivalent atoms, fractional coordinates:
Pr: 0.000 0.000 0.000 [2 per cell]
Ho: 0.500 0.000 0.719 [2 per cell]
Rh: 0.000 0.000 0.263 [2 per cell]
Au: 0.500 0.000 0.434 [2 per cell]

Values from the calculation:
Crystal system = orthorhombic
Total moment = 0.00 μB per cell

---

x:
PrHoRhAu | PBE | relaxed

Cell lengths 7.168, 7.168, 7.168 Å; angles 90.00, 90.00, 90.00 degrees
Space group F-43m (No. 216)
Inequivalent atoms, fractional coordinates:
Pr: 0.000 0.000 0.000 [4 per cell]
Ho: 0.000 0.000 0.500 [4 per cell]
Rh: 0.250 0.250 0.750 [4 per cell]
Au: 0.250 0.250 0.250 [4 per cell]

Values from the calculation:
Crystal system = cubic
Total moment = 0.00 μB per cell

---

Which of them is the most stable? Correct choice: w.